Material: Cd2Si2Pb
Method: DFT, GGA-PBE
State: relaxed

Results
- V (Å³/cell) = 229
- distance to the lowest polymorph of the same formula (eV per atom) = 0.0000
- magnetic moment (μB/f.u.) = 0.00
- DOS at the Fermi energy (states/eV per atom) = 0.400

Structure (CIF):
```
data_Cd2Si2Pb
_space_group_name_H-M_alt 'I 4/m m m'
_space_group_IT_number 139
_space_group_name_Hall '-I 4 2'
_cell_length_a 3.5076
_cell_length_b 3.5076
_cell_length_c 18.6030
_cell_angle_alpha 90.00
_cell_angle_beta 90.00
_cell_angle_gamma 90.00
loop_
_atom_site_label
_atom_site_fract_x
_atom_site_fract_y
_atom_site_fract_z
Cd1 0.0000 0.0000 0.1196
Si1 0.0000 0.5000 0.2500
Pb1 0.0000 0.0000 0.5000
```